[1]
DFT (GGA-PBE) results for a relaxed PrSmSb2 crystal.

Cell: 4.5123 4.5123 6.3812 Å, 90.00 90.00 90.00°
Atoms (fractional coordinates):
Pr 0.0000 0.0000 0.5000
Sm 0.5000 0.5000 0.0000
Sb 0.0000 0.0000 0.0000
Sb 0.5000 0.5000 0.5000

Calculated values
Energy, eV/atom: -5.616
Symmetry: No. 123

[2]
DFT (GGA-PBE) results for a relaxed Pr2SmSb3 crystal.

Cell: 4.5210 4.5210 11.1083 Å, 90.00 90.00 120.00°
Atoms (fractional coordinates):
Sb 0.3333 0.6667 0.3379
Sb 0.6667 0.3333 0.6621
Sb 0.0000 0.0000 0.0000
Sm 0.0000 0.0000 0.5000
Pr 0.3333 0.6667 0.8310
Pr 0.6667 0.3333 0.1690

Calculated values
Energy, eV/atom: -5.627
Symmetry: No. 164

[3]
DFT (GGA-PBE) results for a relaxed PrSmSb crystal.

Cell: 5.2278 5.2278 5.2278 Å, 60.00 60.00 60.00°
Atoms (fractional coordinates):
Sm 0.7500 0.7500 0.7500
Sb 0.0000 0.0000 0.0000
Pr 0.2500 0.2500 0.2500

Calculated values
Energy, eV/atom: -5.182
Symmetry: No. 216

[4]
DFT (GGA-PBE) results for a relaxed PrSmSb2Te2 crystal.

Cell: 4.3539 4.3539 9.4972 Å, 90.00 90.00 90.00°
Atoms (fractional coordinates):
Te 0.0000 0.0000 0.6279
Te 0.5000 0.5000 0.3789
Sb 0.5000 0.0000 0.9970
Sb 0.0000 0.5000 0.9970
Pr 0.0000 0.0000 0.2741
Sm 0.5000 0.5000 0.7251

Calculated values
Energy, eV/atom: -5.171
Symmetry: No. 99

[5]
DFT (GGA-PBE) results for a relaxed PrSmZr2Sb2 crystal.

Cell: 9.0687 9.0687 9.0687 Å, 152.25 152.25 39.65°
Atoms (fractional coordinates):
Sb 0.8723 0.8723 0.0000
Sb 0.1286 0.1286 0.0000
Sm 0.6761 0.6761 0.0000
Zr 0.5005 0.0005 0.5000
Zr 0.0005 0.5005 0.5000
Pr 0.3220 0.3220 0.0000

Calculated values
Energy, eV/atom: -6.620
Symmetry: No. 107

[6]
DFT (GGA-PBE) results for a relaxed PrSnSb crystal.

Cell: 5.2688 5.2688 5.2688 Å, 60.00 60.00 60.00°
Atoms (fractional coordinates):
Pr 0.5000 0.5000 0.5000
Sn 0.0000 0.0000 0.0000
Sb 0.2500 0.2500 0.2500

Calculated values
Energy relative to the lowest polymorph listed for this composition, eV per atom: 0.000
Symmetry: No. 216